Ca2TlSn after structural relaxation. Source: the Alexandria database, functional GGA-PBE.

```
4
Lattice="1.8816 1.0864 10.0619 -1.8816 1.0864 10.0619 0.0000 -2.1727 10.0619" Properties=species:S:1:pos:R:3 pbc="T T T"
Ca 0.0000 0.0000 7.5219
Ca 0.0000 0.0000 22.6637
Tl 0.0000 0.0000 0.0000
Sn 0.0000 0.0000 15.0928
```

Values from the calculation:
calculated formation energy = -384 meV/atom
DFT total energy = -2.977 eV per atom

=====

PmPuSb2 after structural relaxation. Source: the Alexandria database, functional GGA-PBE.

```
4
Lattice="2.2189 1.2811 7.5030 -2.2189 1.2811 7.5030 0.0000 -2.5622 7.5030" Properties=species:S:1:pos:R:3 pbc="T T T"
Pm 0.0000 0.0000 0.0000
Pu 0.0000 0.0000 3.8521
Sb 0.0000 0.0000 13.1100
Sb 0.0000 0.0000 17.0065
```

Values from the calculation:
formation energy from raw total energies = -75 kJ/mol of atoms
DFT total energy = -7.612 eV per atom

=====

YSbRh after structural relaxation. Source: the Alexandria database, functional GGA-PBE.

```
6
Lattice="5.6696 0.0000 0.0000 0.0000 4.7705 0.0000 -2.2827 0.0000 5.3439" Properties=species:S:1:pos:R:3 pbc="T T T"
Y -0.1176 1.1926 1.6949
Y 3.5044 3.5779 3.6490
Sb 1.9287 3.5779 0.9490
Sb 1.4582 1.1926 4.3949
Rh 0.4869 3.5779 3.5694
Rh 2.8999 1.1926 1.7745
```

Values from the calculation:
formation energy from raw total energies = -63 kJ/mol of atoms
DFT total energy = -6.636 eV per atom

=====

Tb4Nd4Sm after structural relaxation. Source: the Alexandria database, functional GGA-PBE.

```
9
Lattice="-5.4351 5.4351 2.5593 5.4351 -5.4351 2.5593 5.4351 5.4351 -2.5593" Properties=species:S:1:pos:R:3 pbc="T T T"
Tb 3.6433 0.0000 0.0000
Tb 7.2268 0.0000 0.0000
Tb 0.0000 3.6433 0.0000
Tb 0.0000 7.2268 0.0000
Nd 3.6189 3.6189 0.0000
Nd 1.8162 -1.8162 2.5593
Nd -1.8162 1.8162 2.5593
Nd 1.8162 1.8162 2.5593
Sm 0.0000 0.0000 0.0000
```

Values from the calculation:
calculated formation energy = 16 meV/atom
DFT total energy = -4.685 eV per atom

=====

Nd2Y8Th after structural relaxation. Source: the Alexandria database, functional GGA-PBE.

```
11
Lattice="9.6394 -3.4603 0.0000 9.6394 3.4603 0.0000 -0.3642 0.0000 5.6427" Properties=species:S:1:pos:R:3 pbc="T T T"
Nd 4.1078 0.0000 1.4185
Nd 14.8068 0.0000 4.2242
Y 0.8513 0.0000 1.2981
Y 7.0709 1.8027 1.5487
Y 5.8193 0.0000 4.3734
Y 11.8437 1.8027 4.0940
Y 7.0709 -1.8027 1.5487
Y 13.0952 0.0000 1.2693
Y 11.8437 -1.8027 4.0940
Y 18.0633 0.0000 4.3446
Th 9.6394 0.0000 0.0000
```

Values from the calculation:
calculated formation energy = 188 meV/atom
DFT total energy = -6.055 eV per atom

=====

HfTa2PtN after structural relaxation. Source: the Alexandria database, functional GGA-PBE.

```
5
Lattice="5.0702 0.0000 0.0000 0.0000 5.0702 0.0000 0.0000 0.0000 3.9269" Properties=species:S:1:pos:R:3 pbc="T T T"
Hf 0.0000 0.0000 0.0000
Ta 0.0000 2.5351 0.0000
Ta 2.5351 0.0000 0.0000
Pt 2.5351 2.5351 1.9635
N 0.0000 0.0000 1.9635
```

Values from the calculation:
formation energy from raw total energies = 149 kJ/mol of atoms
DFT total energy = -8.063 eV per atom

=====

Re4HgOs after structural relaxation. Source: the Alexandria database, functional GGA-PBE.

```
6
Lattice="0.0000 3.6728 3.6728 3.6728 0.0000 3.6728 3.6728 3.6728 0.0000" Properties=species:S:1:pos:R:3 pbc="T T T"
Re 0.9123 0.9123 0.9123
Re 2.7605 2.7605 0.9123
Re 2.7605 0.9123 2.7605
Re 0.9123 2.7605 2.7605
Hg 5.5091 5.5091 5.5091
Os 3.6728 3.6728 3.6728
```

Values from the calculation:
calculated formation energy = 800 meV/atom
DFT total energy = -9.421 eV per atom

=====

PtWC2 after structural relaxation. Source: the Alexandria database, functional GGA-PBE.

```
4
Lattice="0.0000 2.7627 2.7627 2.7627 0.0000 2.7627 2.7627 2.7627 0.0000" Properties=species:S:1:pos:R:3 pbc="T T T"
Pt 0.0000 0.0000 0.0000
W 2.7627 2.7627 2.7627
C 1.3814 1.3814 1.3814
C 4.1441 4.1441 4.1441
```

Values from the calculation:
calculated formation energy = 1406 meV/atom
DFT total energy = -7.955 eV per atom

=====

ReNiMo after structural relaxation. Source: the Alexandria database, functional GGA-PBE.

```
3
Lattice="-1.5963 1.5963 4.1671 1.5963 -1.5963 4.1671 1.5963 1.5963 -4.1671" Properties=species:S:1:pos:R:3 pbc="T T T"
Re 0.0000 0.0000 0.0000
Ni 0.0000 0.0000 2.7629
Mo 0.0000 0.0000 5.5337
```

Values from the calculation:
calculated formation energy = 158 meV/atom
DFT total energy = -9.528 eV per atom

=====

LaZr2P after structural relaxation. Source: the Alexandria database, functional GGA-PBE.

```
4
Lattice="3.5298 0.0000 0.0000 0.0000 3.5298 0.0000 0.0000 0.0000 7.6022" Properties=species:S:1:pos:R:3 pbc="T T T"
La 0.0000 0.0000 0.0000
Zr 0.0000 0.0000 3.1516
Zr 1.7649 1.7649 5.0455
P 1.7649 1.7649 2.0963
```

Values from the calculation:
calculated formation energy = -540 meV/atom
DFT total energy = -7.398 eV per atom

=====

Nd2CdRu2 after structural relaxation. Source: the Alexandria database, functional GGA-PBE.

```
10
Lattice="5.0686 -2.7981 0.0000 5.0686 2.7981 0.0000 -2.4608 0.0000 8.1063" Properties=species:S:1:pos:R:3 pbc="T T T"
Nd 1.4908 1.9009 6.9213
Nd 4.9553 1.9009 5.2381
Nd 2.7212 -1.9009 2.8682
Nd 6.1857 -1.9009 1.1850
Cd 4.4534 0.8552 2.0266
Cd 3.2230 -0.8552 6.0797
Ru 2.4098 0.8853 3.9711
Ru 6.4970 0.8853 0.0821
Ru 1.1794 -0.8853 8.0242
Ru 5.2666 -0.8853 4.1352
```

Values from the calculation:
calculated formation energy = -165 meV/atom
DFT total energy = -5.966 eV per atom

=====

LiAgSe2 after structural relaxation. Source: the Alexandria database, functional GGA-PBE.

```
4
Lattice="1.9554 -2.0581 0.0000 1.9554 2.0581 0.0000 0.0000 0.0000 10.2710" Properties=species:S:1:pos:R:3 pbc="T T T"
Li 0.0000 0.0000 0.0000
Ag 1.9554 0.0000 2.1851
Se 0.0000 0.0000 4.5213
Se 1.9554 0.0000 8.4843
```

Values from the calculation:
formation energy from raw total energies = -16 kJ/mol of atoms
DFT total energy = -3.102 eV per atom

=====

Rb2Cd2TeSe2 after structural relaxation. Source: the Alexandria database, functional GGA-PBE.

```
7
Lattice="7.5078 -2.2293 0.0000 7.5078 2.2293 0.0000 -5.2579 0.0000 7.6865" Properties=species:S:1:pos:R:3 pbc="T T T"
Rb -0.5493 0.0000 1.9604
Rb 10.3071 0.0000 5.7261
Cd 3.5555 0.0000 1.3587
Cd 6.2022 0.0000 6.3278
Te 4.8789 0.0000 3.8433
Se 0.1529 0.0000 6.9575
Se 9.6049 0.0000 0.7290
```

Values from the calculation:
formation energy from raw total energies = -77 kJ/mol of atoms
DFT total energy = -2.783 eV per atom